DFT (PBE with a Hubbard U) results for a geometry-optimized HfZnFe2O6 structure.

Properties
Size of the total moment (μB/cell): 8.00
Total energy (eV/atom): -7.15
Space group: P1, No. 1

Cell: 5.305 5.231 5.485 Å, 62.41 63.38 58.77°
Each line ends with the local moment (μB).
Element x y z (fractional)
Hf 0.308 0.308 0.074  0.02
Fe 0.017 0.022 0.945  4.30
Fe 0.523 0.517 0.449  3.17
O 0.392 0.724 0.742  0.04
O 0.622 0.235 0.243  0.03
O 0.116 0.396 0.760  0.15
O 0.721 0.134 0.740  0.03
O 0.915 0.627 0.239  0.11
O 0.252 0.900 0.232  0.03
Zn 0.795 0.798 0.592  0.02